Entry 1:
A crystal of CaTa2Zn relaxed with PBEsol. Source: Alexandria via LeMat-Bulk, functional SCAN.

Computed properties:
**Calculated formation energy**: 0.59 eV per atom
**Theoretical density**: 10.2 g/cm3
**Calculated volume**: 151.8 Å³/cell
**Size of the total moment**: 0.0 μB per cell
**E_tot**: -38.4940 eV/atom

abc: 4.0168 4.0168 9.4077
angles: 90.00 90.00 90.00
With the nearest neighbours (Å) after each atom.
Space group I4/mmm (No. 139)
Inequivalent atoms, fractional coordinates:
Ca: 0.0000 0.0000 0.0000 [2 per cell]  4 Zn 2.84, 8 Ta 3.09
Ta: 0.0000 0.5000 0.2500 [4 per cell]  4 Ta 2.84, 4 Ca 3.09, 4 Zn 3.09
Zn: 0.0000 0.0000 0.5000 [2 per cell]  4 Ca 2.84, 8 Ta 3.09

---

Entry 2:
A crystal of CaTa2Zn relaxed with PBEsol. Source: Alexandria via LeMat-Bulk, functional SCAN.

Computed properties:
**Calculated formation energy**: 0.28 eV per atom
**Theoretical density**: 10.2 g/cm3
**Calculated volume**: 152.0 Å³/cell
**Size of the total moment**: 0.0 μB per cell
**E_tot**: -38.8060 eV/atom

abc: 3.6357 4.4149 9.4686
angles: 90.00 90.00 90.00
With the nearest neighbours (Å) after each atom.
Space group Cmm2 (No. 35)
Inequivalent atoms, fractional coordinates:
Ca: 0.0000 0.0000 0.0000 [2 per cell]  4 Ca 2.86, 2 Zn 2.99
Ta: 0.0000 0.0000 0.5290 [2 per cell]  4 Zn 2.76-3.03, 6 Ta 2.85-2.86
Ta: 0.0000 0.5000 0.2977 [2 per cell]  8 Ta 2.85-3.11
Zn: 0.0000 0.5000 0.7488 [2 per cell]  4 Ta 2.76-3.03, 4 Zn 2.86, 2 Ca 2.99

---

Entry 3:
A crystal of CaTaZn2 relaxed with PBEsol. Source: Alexandria via LeMat-Bulk, functional SCAN.

Computed properties:
**Calculated formation energy**: 0.36 eV per atom
**Theoretical density**: 7.7 g/cm3
**Calculated volume**: 75.6 Å³/cell
**Size of the total moment**: 0.5 μB per cell
**E_tot**: -25.4603 eV/atom

abc: 3.0661 4.2015 5.8707
angles: 90.00 90.00 90.00
With the nearest neighbours (Å) after each atom.
Space group Pmm2 (No. 25)
Inequivalent atoms, fractional coordinates:
Ca: 0.0000 0.0000 0.0000 [1 per cell]  6 Zn 2.90-2.97, 2 Ca 3.07, 4 Ta 3.24
Ta: 0.5000 0.5000 0.3287 [1 per cell]  5 Zn 2.61-2.77
Zn: 0.0000 0.0000 0.4934 [1 per cell]  4 Ta 2.77, 2 Ca 2.90-2.97, 6 Zn 3.07
Zn: 0.5000 0.5000 0.7725 [1 per cell]  1 Ta 2.61